Entry 1:
{"formula": "Li2TlB2Pd5", "functional": "PBE", "state": "optimized geometry", "lattice": [[9.738, 0.000, 0.000], [0.000, 9.738, 0.000], [0.000, 0.000, 3.079]], "species": ["Li", "Li", "Li", "Li", "Tl", "Tl", "B", "B", "B", "B", "Pd", "Pd", "Pd", "Pd", "Pd", "Pd", "Pd", "Pd", "Pd", "Pd"], "frac_coords": [[0.175, 0.325, 0.000], [0.325, 0.825, 0.000], [0.675, 0.175, 0.000], [0.825, 0.675, 0.000], [0.000, 0.000, 0.000], [0.500, 0.500, 0.000], [0.122, 0.622, 0.000], [0.378, 0.122, 0.000], [0.622, 0.878, 0.000], [0.878, 0.378, 0.000], [0.000, 0.500, 0.500], [0.073, 0.772, 0.500], [0.228, 0.073, 0.500], [0.272, 0.573, 0.500], [0.427, 0.272, 0.500], [0.500, 0.000, 0.500], [0.573, 0.728, 0.500], [0.728, 0.427, 0.500], [0.772, 0.927, 0.500], [0.927, 0.228, 0.500]], "delta_e_f_ev_per_atom": -0.303}


Entry 2:
{"formula": "CeSbP", "functional": "PBE", "state": "optimized geometry", "lattice": [[-1.988, 1.988, 5.078], [1.988, -1.988, 5.078], [1.988, 1.988, -5.078]], "species": ["Ce", "Sb", "P"], "frac_coords": [[0.000, 0.000, 0.000], [0.678, 0.678, 0.000], [0.430, 0.430, 0.000]], "e_tot_ev_per_atom": -5.88}


Entry 3:
{"formula": "Cd2Cu2Ag", "functional": "PBE", "state": "optimized geometry", "lattice": [[-1.965, 1.965, 6.098], [1.965, -1.965, 6.098], [1.965, 1.965, -6.098]], "species": ["Cd", "Cd", "Cu", "Cu", "Ag"], "frac_coords": [[0.250, 0.750, 0.500], [0.750, 0.250, 0.500], [0.095, 0.095, 0.000], [0.905, 0.905, 0.000], [0.500, 0.500, 0.000]], "polymorph_energy_mev_per_atom": 225.4, "delta_e_f_ev_per_atom": 0.299}


Entry 4:
{"formula": "SrGaAu", "functional": "PBE", "state": "optimized geometry", "lattice": [[-2.308, 3.937, 4.320], [2.308, -3.937, 4.320], [2.308, 3.937, -4.320]], "species": ["Sr", "Sr", "Ga", "Ga", "Au", "Au"], "frac_coords": [[0.237, 0.237, 0.000], [0.763, 0.763, 0.000], [0.341, 0.000, 0.341], [0.659, 0.000, 0.659], [0.184, 0.500, 0.684], [0.816, 0.500, 0.316]], "delta_e_f_ev_per_atom": -0.647}


Entry 5:
{"formula": "Pm2NdSm3Dy6", "functional": "PBE", "state": "optimized geometry", "lattice": [[3.117, -5.397, 0.000], [3.117, 5.397, 0.000], [-2.071, 0.000, 11.664]], "species": ["Pm", "Pm", "Nd", "Sm", "Sm", "Sm", "Dy", "Dy", "Dy", "Dy", "Dy", "Dy"], "frac_coords": [[0.167, 0.833, 0.000], [0.833, 0.167, 0.000], [0.500, 0.500, 0.000], [0.000, 0.000, 0.500], [0.333, 0.667, 0.500], [0.667, 0.333, 0.500], [0.083, 0.416, 0.749], [0.250, 0.250, 0.251], [0.416, 0.083, 0.749], [0.584, 0.917, 0.251], [0.750, 0.750, 0.749], [0.917, 0.584, 0.251]], "delta_e_f_ev_per_atom": 0.013}


Entry 6:
{"formula": "Y3HgO", "functional": "PBE", "state": "optimized geometry", "lattice": [[3.479, -5.447, 0.000], [3.479, 5.447, 0.000], [0.000, 0.000, 7.279]], "species": ["Y", "Y", "Y", "Y", "Y", "Y", "Hg", "Hg", "O", "O"], "frac_coords": [[0.000, 0.000, 0.000], [0.000, 0.000, 0.500], [0.009, 0.491, 0.250], [0.491, 0.009, 0.750], [0.509, 0.991, 0.250], [0.991, 0.509, 0.750], [0.489, 0.511, 0.750], [0.511, 0.489, 0.250], [0.120, 0.880, 0.750], [0.880, 0.120, 0.250]], "polymorph_energy_mev_per_atom": 302.4}